# 1
Computed, not measured: TcIr2Rh at its PBEsol-relaxed geometry at the SCAN level of DFT.

Cell lengths 5.3920, 7.6194, 2.6902 Å; angles 90.00, 90.00, 90.00 degrees
Space group Cmmm (No. 65)
One atom of each set of equivalent atoms:
Tc 0.0000 0.0000 0.0000 (multiplicity 2)
Ir 0.2500 0.2500 0.5000 (multiplicity 4)
Rh 0.0000 0.5000 0.0000 (multiplicity 2)

Computed properties:
* ΔE_f: -0.152 eV per atom

***

# 2
Computed, not measured: TaSbI2Br at its PBEsol-relaxed geometry at the SCAN level of DFT.

Cell lengths 5.5501, 5.5501, 5.4875 Å; angles 90.00, 90.00, 90.00 degrees
Space group P4/mmm (No. 123)
One atom of each set of equivalent atoms:
Ta 0.0000 0.0000 0.0000 (multiplicity 1)
Sb 0.5000 0.5000 0.0000 (multiplicity 1)
I 0.0000 0.5000 0.5000 (multiplicity 2)
Br 0.5000 0.5000 0.5000 (multiplicity 1)

Computed properties:
* uncorrected formation energy: 1.703 eV per atom

***

# 3
Computed, not measured: Tm6Ti4Al43 at its PBEsol-relaxed geometry at the SCAN level of DFT.

Cell lengths 10.9470, 10.9470, 17.6365 Å; angles 90.00, 90.00, 120.00 degrees
Space group P6_3/mcm (No. 193)
One atom of each set of equivalent atoms:
Tm 0.0000 0.4710 0.0961 (multiplicity 12)
Ti 0.0000 0.0000 0.0000 (multiplicity 2)
Ti 0.0000 0.2727 0.2500 (multiplicity 6)
Al 0.0000 0.1474 0.7500 (multiplicity 6)
Al 0.0000 0.1562 0.1164 (multiplicity 12)
Al 0.0000 0.2538 0.5286 (multiplicity 12)
Al 0.1492 0.5533 0.2500 (multiplicity 12)
Al 0.1594 0.3938 0.6629 (multiplicity 24)
Al 0.2473 0.4947 0.0000 (multiplicity 12)
Al 0.3333 0.6667 0.1253 (multiplicity 8)

Computed properties:
* ΔE_f: -0.346 eV per atom

***

# 4
Computed, not measured: Ba2Hf2Mo at its PBEsol-relaxed geometry at the SCAN level of DFT.

Cell lengths 4.0568, 4.0568, 16.9270 Å; angles 90.00, 90.00, 90.00 degrees
Space group I4/mmm (No. 139)
One atom of each set of equivalent atoms:
Ba 0.0000 0.5000 0.2500 (multiplicity 4)
Hf 0.0000 0.0000 0.0766 (multiplicity 4)
Mo 0.0000 0.0000 0.5000 (multiplicity 2)

Computed properties:
* ΔE_f: 1.522 eV per atom

***

# 5
Computed, not measured: BeReSn3 at its PBEsol-relaxed geometry at the SCAN level of DFT.

Cell lengths 5.1361, 5.1361, 5.1361 Å; angles 90.00, 90.00, 90.00 degrees
Space group Pm-3m (No. 221)
One atom of each set of equivalent atoms:
Be 0.0000 0.0000 0.0000 (multiplicity 1)
Re 0.5000 0.5000 0.5000 (multiplicity 1)
Sn 0.0000 0.5000 0.5000 (multiplicity 3)

Computed properties:
* ΔE_f: 0.869 eV per atom

***

# 6
Computed, not measured: Ca3TeN at its PBEsol-relaxed geometry at the SCAN level of DFT.

Cell lengths 4.8146, 4.8146, 4.8146 Å; angles 90.00, 90.00, 90.00 degrees
Space group Pm-3m (No. 221)
One atom of each set of equivalent atoms:
Ca 0.0000 0.0000 0.5000 (multiplicity 3)
Te 0.5000 0.5000 0.5000 (multiplicity 1)
N 0.0000 0.0000 0.0000 (multiplicity 1)

Computed properties:
* uncorrected formation energy: -1.179 eV per atom

***

# 7
Computed, not measured: InHNO2 at its PBEsol-relaxed geometry at the SCAN level of DFT.

Cell lengths 3.8696, 3.8696, 2.7475 Å; angles 90.00, 90.00, 90.00 degrees
Space group P4/mmm (No. 123)
One atom of each set of equivalent atoms:
In 0.0000 0.0000 0.0000 (multiplicity 1)
H 0.5000 0.5000 0.5000 (multiplicity 1)
N 0.5000 0.5000 0.0000 (multiplicity 1)
O 0.0000 0.5000 0.5000 (multiplicity 2)

Computed properties:
* final energy: -0.8114 Ry per atom

***

# 8
Computed, not measured: ReRu at its PBEsol-relaxed geometry at the SCAN level of DFT.

Cell lengths 9.8602, 2.7210, 4.7272 Å; angles 90.00, 118.61, 90.00 degrees
Space group C2/m (No. 12)
One atom of each set of equivalent atoms:
Re 0.1240 0.0000 0.2879 (multiplicity 4)
Ru 0.1244 0.5000 0.7928 (multiplicity 4)

Computed properties:
* ΔE_f: -0.076 eV per atom

***

# 9
Computed, not measured: Hg2SbPb2 at its PBEsol-relaxed geometry at the SCAN level of DFT.

Cell lengths 7.7511, 7.7511, 4.5170 Å; angles 90.00, 90.00, 90.00 degrees
Space group P4/mbm (No. 127)
One atom of each set of equivalent atoms:
Hg 0.1326 0.3674 0.0000 (multiplicity 4)
Sb 0.0000 0.0000 0.0000 (multiplicity 2)
Pb 0.1732 0.6732 0.5000 (multiplicity 4)

Computed properties:
* uncorrected formation energy: 0.091 eV per atom

***

# 10
Computed, not measured: Mg2POs at its PBEsol-relaxed geometry at the SCAN level of DFT.

Cell lengths 2.8038, 2.8038, 7.9609 Å; angles 90.00, 90.00, 90.00 degrees
Space group P4/mmm (No. 123)
One atom of each set of equivalent atoms:
Mg 0.0000 0.0000 0.2463 (multiplicity 2)
P 0.5000 0.5000 0.5000 (multiplicity 1)
Os 0.5000 0.5000 0.0000 (multiplicity 1)

Computed properties:
* ΔE_f: 0.098 eV per atom

***

# 11
Computed, not measured: Li5ReO6 at its PBEsol-relaxed geometry at the SCAN level of DFT.

Cell lengths 5.0222, 8.6753, 4.9899 Å; angles 90.00, 109.90, 90.00 degrees
Space group C2/m (No. 12)
One atom of each set of equivalent atoms:
Li 0.0000 0.0000 0.0000 (multiplicity 2)
Li 0.0000 0.1664 0.5000 (multiplicity 4)
Li 0.0000 0.3229 0.0000 (multiplicity 4)
Re 0.0000 0.5000 0.5000 (multiplicity 2)
O 0.2300 0.5000 0.2704 (multiplicity 4)
O 0.2323 0.3456 0.7351 (multiplicity 8)

Computed properties:
* uncorrected formation energy: -2.121 eV per atom

***

# 12
Computed, not measured: TaTlRh2Cl at its PBEsol-relaxed geometry at the SCAN level of DFT.

Cell lengths 4.8762, 4.8762, 4.8804 Å; angles 90.00, 90.00, 90.00 degrees
Space group P4/mmm (No. 123)
One atom of each set of equivalent atoms:
Ta 0.0000 0.0000 0.0000 (multiplicity 1)
Tl 0.5000 0.5000 0.5000 (multiplicity 1)
Rh 0.0000 0.5000 0.5000 (multiplicity 2)
Cl 0.5000 0.5000 0.0000 (multiplicity 1)

Computed properties:
* uncorrected formation energy: 1.893 eV per atom